Entry 1:
ScRu2Se2 | GGA-PBE | relaxed

a b c (Å): 4.0465 4.0465 11.1246
angles (deg): 90.00 90.00 90.00
Space group I4/mmm (No. 139)
One atom of each set of equivalent atoms:
Sc 0.0000 0.0000 0.0000 x2
Ru 0.0000 0.5000 0.2500 x4
Se 0.0000 0.0000 0.3720 x4


Entry 2:
BaPRu2 | GGA-PBE | relaxed

Calculated values
Formation energy: -124 meV/atom

a b c (Å): 3.8984 3.8984 5.8981
angles (deg): 90.00 90.00 90.00
Space group P4mm (No. 99)
One atom of each set of equivalent atoms:
Ba 0.0000 0.0000 0.0000 x1
P 0.5000 0.5000 0.3031 x1
Ru 0.0000 0.5000 0.5134 x2


Entry 3:
PrGdNi2 | GGA-PBE | relaxed

Calculated values
Energy above the most stable polymorph in this dataset: 0.0 meV/atom
Formation energy: -259 meV/atom

a b c (Å): 3.4703 3.4703 6.9084
angles (deg): 90.00 90.00 90.00
Space group P4/mmm (No. 123)
One atom of each set of equivalent atoms:
Pr 0.0000 0.0000 0.0000 x1
Gd 0.0000 0.0000 0.5000 x1
Ni 0.5000 0.5000 0.2662 x2


Number 1: spin magnetization 0.00 μB/atom, E -66.41 eV per cell, calculated volume 182 Å³ per cell. Number 2: spin magnetization 0.00 μB/atom, E -26.38 eV per cell, calculated volume 90 Å³ per cell. Number 3: spin magnetization 1.81 μB/atom, E -31.46 eV per cell, calculated volume 83 Å³ per cell.